Entry 1:
Tl2InAg: optimized geometry, PBE. Values from VASP.

Structure (Quantum ESPRESSO input):
```
&SYSTEM
  ibrav = 0, nat = 4, ntyp = 3
/
ATOMIC_SPECIES
Tl 204.38 Tl.upf
Ag 107.87 Ag.upf
In 114.82 In.upf
ATOMIC_POSITIONS crystal
Tl 0.000 0.000 0.985
Tl 0.500 0.500 0.287
Ag 0.000 0.000 0.517
In 0.500 0.500 0.711
CELL_PARAMETERS angstrom
-0.206 -1.886 -2.807
3.231 0.718 -0.720
2.699 -7.376 4.757
```

Results
- Fermi-level density of states: 1.81 states/eV/f.u.
- Space group: P4mm

---

Entry 2:
InPPb3: optimized geometry, PBE. Values from VASP.

Structure (Quantum ESPRESSO input):
```
&SYSTEM
  ibrav = 0, nat = 5, ntyp = 3
/
ATOMIC_SPECIES
Pb 207.20 Pb.upf
P 30.97 P.upf
In 114.82 In.upf
ATOMIC_POSITIONS crystal
Pb 0.000 0.500 0.000
Pb 0.000 0.000 0.500
Pb 0.500 0.000 0.000
P 0.500 0.500 0.500
In 0.000 0.000 0.000
CELL_PARAMETERS angstrom
5.669 0.000 0.000
0.000 5.669 0.000
0.000 0.000 5.669
```

Results
- Fermi-level density of states: 3.03 states/eV/f.u.
- Space group: Pm-3m

---

Number 1: VASP energy -10.149 eV per cell. Number 2: VASP energy -14.946 eV per cell.